La2Er3ThAs6 | Alexandria via LeMat-Bulk | PBE | relaxed; electronic total energy = -6.43 eV per atom; symmetry = C2/m
1.0
4.2144 0.0000 0.0000
0.0000 8.3996 0.3322
-2.1072 -2.3878 8.8311
As La Er Th
6 2 3 1
direct
0.9963 0.2530 0.9927
0.6677 0.0732 0.3355
0.0037 0.7470 0.0073
0.3373 0.4072 0.6746
0.6627 0.5928 0.3254
0.3323 0.9268 0.6645
0.1670 0.3349 0.3341
0.8330 0.6651 0.6659
0.1675 0.8332 0.3350
0.8325 0.1668 0.6650
0.5000 0.5000 0.0000
0.5000 0.0000 0.0000